[1]
AlFe2AgS: optimized geometry, PBE.

Lattice parameters (Å, degrees): 4.5440 4.5431 4.5440 90.00 90.00 90.00
Last column: nearest neighbours and their distance in Å.
Atoms (fractional coordinates):
Fe: 0.5000 0.0000 0.0000  2 Al 2.27
Fe: 0.0000 0.0000 0.5000  2 Al 2.27
Ag: 0.5000 0.5000 0.5000  8 Fe 3.21, 4 S 3.21
Al: 0.0000 0.0000 0.0000  2 S 2.27, 4 Fe 2.27
S: 0.0000 0.5000 0.0000  2 Al 2.27

Fermi-level density of states ... 7.03 states/eV per cell
Formation energy (no corrections) ... 0.97 eV/atom

[2]
Pm2SiPt4Au2: optimized geometry, PBE.

Lattice parameters (Å, degrees): 6.2990 6.2990 6.2990 89.46 120.31 120.31
Last column: nearest neighbours and their distance in Å.
Atoms (fractional coordinates):
Pm: 0.5000 0.2500 0.7500  4 Au 3.15, 8 Pt 3.15
Pm: 0.5000 0.7500 0.2500  4 Au 3.15, 8 Pt 3.15
Pt: 0.0000 0.7332 0.2668  1 Si 2.37
Pt: 0.5335 0.2668 0.2668  1 Si 2.37
Pt: 0.4665 0.7332 0.7332  1 Si 2.37
Pt: 0.0000 0.2668 0.7332  1 Si 2.37
Au: 0.0000 0.7214 0.7214  1 Si 2.49
Au: 0.0000 0.2786 0.2786  1 Si 2.49
Si: 0.0000 0.0000 0.0000  4 Pt 2.37, 2 Au 2.49

Fermi-level density of states ... 3.83 states/eV per cell
Formation energy (no corrections) ... -0.81 eV/atom

[3]
InSbI2O: optimized geometry, PBE.

Lattice parameters (Å, degrees): 6.2361 6.2361 3.9261 90.00 90.00 90.00
Last column: nearest neighbours and their distance in Å.
Atoms (fractional coordinates):
O: 0.0000 0.0000 0.5000  2 In 1.96
I: 0.0000 0.5000 0.0000  2 In 3.12
I: 0.5000 0.0000 0.0000  2 In 3.12
In: 0.0000 0.0000 0.0000  2 O 1.96
Sb: 0.5000 0.5000 0.5000  8 I 3.68, 2 Sb 3.93

Polymorph energy (0 for the lowest one) ... 1.648 eV/f.u.
Fermi-level density of states ... 3.83 states/eV per cell
Formation energy (no corrections) ... -0.13 eV/atom

[4]
Ta12Nb6Re: optimized geometry, PBE.

Lattice parameters (Å, degrees): 7.0960 7.0960 7.0960 88.52 88.52 88.52
Last column: nearest neighbours and their distance in Å.
Atoms (fractional coordinates):
Nb: 0.1130 0.7391 0.2665  1 Re 2.73, 2 Nb 2.87, 8 Ta 2.87-3.06
Nb: 0.7391 0.2665 0.1130  1 Re 2.73, 2 Nb 2.87, 8 Ta 2.87-3.06
Nb: 0.8870 0.2609 0.7335  1 Re 2.73, 2 Nb 2.87, 8 Ta 2.87-3.06
Nb: 0.2665 0.1130 0.7391  1 Re 2.73, 2 Nb 2.87, 8 Ta 2.87-3.06
Nb: 0.2609 0.7335 0.8870  1 Re 2.73, 2 Nb 2.87, 8 Ta 2.87-3.06
Nb: 0.7335 0.8870 0.2609  1 Re 2.73, 2 Nb 2.87, 8 Ta 2.87-3.06
Ta: 0.5778 0.1907 0.4814  4 Nb 2.87-2.93, 5 Ta 2.90-3.13
Ta: 0.0563 0.1498 0.3786  5 Ta 2.82-3.13, 5 Nb 2.88-3.13, 1 Re 2.96
Ta: 0.9437 0.8502 0.6214  5 Ta 2.82-3.13, 5 Nb 2.88-3.13, 1 Re 2.96
Ta: 0.4814 0.5778 0.1907  4 Nb 2.87-2.93, 5 Ta 2.90-3.13
Ta: 0.3786 0.0563 0.1498  5 Ta 2.82-3.13, 5 Nb 2.88-3.13, 1 Re 2.96
Ta: 0.8093 0.5186 0.4222  4 Nb 2.87-2.93, 5 Ta 2.90-3.13
Ta: 0.1907 0.4814 0.5778  4 Nb 2.87-2.93, 5 Ta 2.90-3.13
Ta: 0.8502 0.6214 0.9437  5 Ta 2.82-3.13, 5 Nb 2.88-3.13, 1 Re 2.96
Ta: 0.6214 0.9437 0.8502  5 Ta 2.82-3.13, 5 Nb 2.88-3.13, 1 Re 2.96
Ta: 0.1498 0.3786 0.0563  5 Ta 2.82-3.13, 5 Nb 2.88-3.13, 1 Re 2.96
Ta: 0.4222 0.8093 0.5186  4 Nb 2.87-2.93, 5 Ta 2.90-3.13
Ta: 0.5186 0.4222 0.8093  4 Nb 2.87-2.93, 5 Ta 2.90-3.13
Re: 0.0000 0.0000 0.0000  6 Nb 2.73, 6 Ta 2.96

Fermi-level density of states ... 16.19 states/eV per cell
Formation energy from the elements ... 0.1316 eV/atom

[5]
SrMo2WN: optimized geometry, PBE.

Lattice parameters (Å, degrees): 4.1417 4.8992 4.1417 90.00 90.00 90.00
Last column: nearest neighbours and their distance in Å.
Atoms (fractional coordinates):
Mo: 0.0000 0.0000 0.5000  2 N 2.07
Mo: 0.5000 0.0000 0.0000  2 N 2.07
N: 0.0000 0.0000 0.0000  4 Mo 2.07
W: 0.5000 0.5000 0.5000  4 Sr 2.93, 8 Mo 3.21
Sr: 0.0000 0.5000 0.0000  2 N 2.45

Fermi-level density of states ... 5.38 states/eV per cell
Formation energy (no corrections) ... 0.73 eV/atom

[6]
LiLaGa2Pb: optimized geometry, PBE.

Lattice parameters (Å, degrees): 5.6273 5.5662 5.6273 90.00 90.00 90.00
Last column: nearest neighbours and their distance in Å.
Atoms (fractional coordinates):
Ga: 0.5000 0.0000 0.0000  2 La 2.81
Ga: 0.0000 0.0000 0.5000  2 La 2.81
La: 0.0000 0.0000 0.0000  2 Li 2.78, 4 Ga 2.81
Pb: 0.5000 0.5000 0.5000  8 Ga 3.96, 4 Li 3.98
Li: 0.0000 0.5000 0.0000  2 La 2.78

Fermi-level density of states ... 5.12 states/eV per cell
Formation energy from the elements ... 0.7022 eV/atom

[7]
LiPuHg4: optimized geometry, PBE.

Lattice parameters (Å, degrees): 5.9623 5.9623 5.9623 60.00 60.00 60.00
Last column: nearest neighbours and their distance in Å.
Atoms (fractional coordinates):
Hg: 0.6246 0.6246 0.6246  6 Hg 2.97-2.99
Hg: 0.6246 0.6246 0.1261  6 Hg 2.97-2.99
Hg: 0.6246 0.1261 0.6246  6 Hg 2.97-2.99
Hg: 0.1261 0.6246 0.6246  6 Hg 2.97-2.99
Pu: 0.0000 0.0000 0.0000  12 Hg 3.50, 4 Li 3.65
Li: 0.2500 0.2500 0.2500  12 Hg 3.49, 4 Pu 3.65

Polymorph energy (0 for the lowest one) ... 1.025 eV/f.u.
Fermi-level density of states ... 13.95 states/eV per cell
Formation energy from the elements ... -0.0187 eV/atom

[8]
ZrZnPO2: optimized geometry, PBE.

Lattice parameters (Å, degrees): 3.8773 3.8773 4.5966 90.00 90.00 90.00
Last column: nearest neighbours and their distance in Å.
Atoms (fractional coordinates):
P: 0.0000 0.0000 0.5000  2 Zn 2.30
O: 0.0000 0.5000 0.0000  2 Zn 1.94
O: 0.5000 0.0000 0.0000  2 Zn 1.94
Zr: 0.5000 0.5000 0.5000  4 P 2.74, 8 O 3.01
Zn: 0.0000 0.0000 0.0000  4 O 1.94

Polymorph energy (0 for the lowest one) ... 3.162 eV/f.u.
Fermi-level density of states ... 3.89 states/eV per cell
Formation energy (no corrections) ... -0.59 eV/atom

[9]
Na2LiMgRe: optimized geometry, PBE.

Lattice parameters (Å, degrees): 5.7179 4.9949 5.7179 90.00 90.00 90.00
Last column: nearest neighbours and their distance in Å.
Atoms (fractional coordinates):
Mg: 0.5000 0.5000 0.5000  8 Na 3.80, 4 Li 4.04
Li: 0.0000 0.5000 0.0000  2 Re 2.50
Na: 0.5000 0.0000 0.0000  2 Re 2.86
Na: 0.0000 0.0000 0.5000  2 Re 2.86
Re: 0.0000 0.0000 0.0000  2 Li 2.50

Fermi-level density of states ... 5.73 states/eV per cell
Formation energy from the elements ... 1.4047 eV/atom

[10]
TcSnRu2S: optimized geometry, PBE.

Lattice parameters (Å, degrees): 4.3839 4.3839 4.4044 90.00 90.00 90.00
Last column: nearest neighbours and their distance in Å.
Atoms (fractional coordinates):
Ru: 0.0000 0.5000 0.0000  2 S 2.19
Ru: 0.5000 0.0000 0.0000  2 S 2.19
Tc: 0.0000 0.0000 0.5000  2 S 2.20
S: 0.0000 0.0000 0.0000  4 Ru 2.19, 2 Tc 2.20
Sn: 0.5000 0.5000 0.5000  4 Tc 3.10, 8 Ru 3.11

Fermi-level density of states ... 4.22 states/eV per cell
Formation energy (no corrections) ... 0.35 eV/atom

[11]
Ta2TlPt: optimized geometry, PBE.

Lattice parameters (Å, degrees): 5.3066 5.3066 5.3066 134.94 134.94 65.62
Last column: nearest neighbours and their distance in Å.
Atoms (fractional coordinates):
Ta: 0.2500 0.7500 0.5000  4 Pt 2.88, 4 Ta 3.02, 4 Tl 3.02
Ta: 0.0000 0.0000 0.0000  4 Tl 2.88, 4 Ta 3.02, 4 Pt 3.02
Pt: 0.7500 0.2500 0.5000  8 Ta 2.88-3.02, 4 Tl 3.02
Tl: 0.5000 0.5000 0.0000  8 Ta 2.88-3.02, 4 Pt 3.02

Polymorph energy (0 for the lowest one) ... 0.619 eV/f.u.
Fermi-level density of states ... 4.79 states/eV per cell
Formation energy from the elements ... 0.1677 eV/atom

[12]
DyAuCl: optimized geometry, PBE.

Lattice parameters (Å, degrees): 4.0509 7.5449 4.7877 91.40 90.00 90.01
Last column: nearest neighbours and their distance in Å.
Atoms (fractional coordinates):
Dy: 0.2500 0.2784 0.5541  3 Cl 2.75-2.95, 3 Au 2.80-2.99
Dy: 0.7500 0.7216 0.4459  3 Cl 2.75-2.95, 3 Au 2.80-2.99
Au: 0.7500 0.3995 0.1414  3 Dy 2.80-2.99, 2 Au 2.89, 1 Cl 3.10
Au: 0.2500 0.6005 0.8586  3 Dy 2.80-2.99, 2 Au 2.89, 1 Cl 3.10
Cl: 0.2501 0.9326 0.2514  3 Dy 2.75-2.95
Cl: 0.7499 0.0674 0.7486  3 Dy 2.75-2.95

Fermi-level density of states ... 4.14 states/eV per cell
Formation energy (no corrections) ... -1.25 eV/atom